VASP calculation (GGA-PBE) on a relaxed BeHg2As crystal.

a b c (Å): 3.8637 4.0401 5.1303
angles (deg): 90.00 90.00 90.00
Closest atoms and distances in Å follow each position.
Fractional coordinates of all 4 atoms:
Be  0.0000  0.0000  0.0000  4 Hg 2.80
Hg  0.0000  0.5000  0.5000  4 As 2.80
Hg  0.5000  0.5000  0.0000  4 Be 2.80
As  0.5000  0.0000  0.5000  4 Hg 2.80

Summary:
calculated volume	80	Å³/f.u.
E_tot	-6.65	eV/f.u.
space group	No. 47
theoretical density	10.059	g/cm³